## w
Hg3OF: optimized geometry, GGA-PBE.

Properties
The space group is Pnma (62). Its size of the total moment is 0.0 Bohr magnetons per cell.

Cell lengths 6.1793, 6.6215, 9.4409 Å; angles 90.00, 90.00, 90.00 degrees
Sites, in units of the cell vectors:
Hg1 0.0955 0.0065 0.1467
Hg2 0.0955 0.4935 0.1467
Hg3 0.1488 0.2500 0.4830
Hg4 0.3512 0.7500 0.9830
Hg5 0.4045 0.5065 0.6467
Hg6 0.4045 0.9935 0.6467
Hg7 0.5955 0.0065 0.3533
Hg8 0.5955 0.4935 0.3533
Hg9 0.6488 0.2500 0.0170
Hg10 0.8512 0.7500 0.5170
Hg11 0.9045 0.5065 0.8533
Hg12 0.9045 0.9935 0.8533
O1 0.0553 0.7500 0.7067
O2 0.4447 0.2500 0.2067
O3 0.5553 0.7500 0.7933
O4 0.9447 0.2500 0.2933
F1 0.1568 0.7500 0.3462
F2 0.3432 0.2500 0.8462
F3 0.6568 0.7500 0.1538
F4 0.8432 0.2500 0.6538

## x
Hg3OF: optimized geometry, GGA-PBE.

Properties
The space group is Pm-3m (221). Its size of the total moment is 0.0 Bohr magnetons per cell.

Cell lengths 4.8230, 4.8230, 4.8230 Å; angles 90.00, 90.00, 90.00 degrees
Sites, in units of the cell vectors:
Hg1 0.0000 0.0000 0.5000
Hg2 0.0000 0.5000 0.0000
Hg3 0.5000 0.0000 0.0000
O1 0.0000 0.0000 0.0000
F1 0.5000 0.5000 0.5000

Name the most stable of them. w.

## w
Hg3O2F2: optimized geometry, GGA-PBE.

Properties
The space group is P2_1/c (14). Its size of the total moment is 0.0 Bohr magnetons per cell.

Cell lengths 6.0216, 6.9459, 6.8294 Å; angles 90.00, 119.80, 90.00 degrees
Sites, in units of the cell vectors:
Hg1 0.0000 0.0000 0.0000
Hg2 0.0000 0.5000 0.5000
Hg3 0.3479 0.0829 0.7089
Hg4 0.3479 0.4171 0.2089
Hg5 0.6521 0.5829 0.7911
Hg6 0.6521 0.9171 0.2911
O1 0.3466 0.1270 0.0722
O2 0.3466 0.3730 0.5722
O3 0.6534 0.6270 0.4278
O4 0.6534 0.8730 0.9278
F1 0.1154 0.6428 0.9165
F2 0.1154 0.8572 0.4165
F3 0.8846 0.1428 0.5835
F4 0.8846 0.3572 0.0835

## x
Hg3O2F2: optimized geometry, GGA-PBE.

Properties
The space group is C2/m (12). Its size of the total moment is 0.0 Bohr magnetons per cell.

Cell lengths 6.4331, 6.4331, 5.8564 Å; angles 106.73, 106.73, 35.57 degrees
Sites, in units of the cell vectors:
Hg1 0.0000 0.0000 0.0000
Hg2 0.2857 0.2857 0.2589
Hg3 0.7143 0.7143 0.7411
O1 0.1492 0.1492 0.9113
O2 0.8508 0.8508 0.0887
F1 0.3624 0.3624 0.6404
F2 0.6376 0.6376 0.3596

Name the most stable of them. w.

## w
Hg3O2F: optimized geometry, GGA-PBE.

Properties
The space group is Pmmn (59). Its size of the total moment is 0.0 Bohr magnetons per cell.

Cell lengths 3.7239, 13.3689, 4.3123 Å; angles 90.00, 90.00, 90.00 degrees
Sites, in units of the cell vectors:
Hg1 0.2500 0.0557 0.1812
Hg2 0.2500 0.4443 0.1812
Hg3 0.2500 0.7500 0.4808
Hg4 0.7500 0.2500 0.5192
Hg5 0.7500 0.5557 0.8188
Hg6 0.7500 0.9443 0.8188
O1 0.2500 0.5959 0.5315
O2 0.2500 0.9041 0.5315
O3 0.7500 0.0959 0.4685
O4 0.7500 0.4041 0.4685
F1 0.2500 0.2500 0.0177
F2 0.7500 0.7500 0.9823

## x
Hg3O2F: optimized geometry, GGA-PBE.

Properties
The space group is Cmc2_1 (36). Its size of the total moment is 0.0 Bohr magnetons per cell.

Cell lengths 6.7976, 6.7976, 7.0079 Å; angles 90.00, 90.00, 49.62 degrees
Sites, in units of the cell vectors:
Hg1 0.2035 0.4169 0.8240
Hg2 0.2096 0.7904 0.5000
Hg3 0.4169 0.2035 0.3240
Hg4 0.5831 0.7965 0.8240
Hg5 0.7904 0.2096 0.0000
Hg6 0.7965 0.5831 0.3240
O1 0.1099 0.5523 0.5155
O2 0.4477 0.8901 0.5155
O3 0.5523 0.1099 0.0155
O4 0.8901 0.4477 0.0155
F1 0.2189 0.7811 0.8796
F2 0.7811 0.2189 0.3796

Name the most stable of them. w.

## w
Hg2OF2: optimized geometry, GGA-PBE.

Properties
The space group is Cmc2_1 (36). Its size of the total moment is 0.0 Bohr magnetons per cell.

Cell lengths 6.4659, 6.4659, 7.3304 Å; angles 90.00, 90.00, 150.72 degrees
Sites, in units of the cell vectors:
Hg1 0.0372 0.9628 0.5000
Hg2 0.2435 0.7565 0.7404
Hg3 0.7565 0.2435 0.2404
Hg4 0.9628 0.0372 0.0000
O1 0.3178 0.6822 0.0177
O2 0.6822 0.3178 0.5177
F1 0.1030 0.8970 0.1948
F2 0.4208 0.5792 0.3609
F3 0.5792 0.4208 0.8609
F4 0.8970 0.1030 0.6948

## x
Hg2OF2: optimized geometry, GGA-PBE.

Properties
The space group is P2_1/c (14). Its size of the total moment is 0.0 Bohr magnetons per cell.

Cell lengths 8.3201, 6.8002, 6.3711 Å; angles 90.00, 93.94, 90.00 degrees
Sites, in units of the cell vectors:
Hg1 0.0574 0.1196 0.2634
Hg2 0.0574 0.3804 0.7634
Hg3 0.3411 0.5339 0.2775
Hg4 0.3411 0.9661 0.7775
Hg5 0.6589 0.0339 0.2225
Hg6 0.6589 0.4661 0.7225
Hg7 0.9426 0.6196 0.2366
Hg8 0.9426 0.8804 0.7366
O1 0.1322 0.0977 0.6451
O2 0.1322 0.4023 0.1451
O3 0.8678 0.5977 0.8549
O4 0.8678 0.9023 0.3549
F1 0.1633 0.6499 0.5791
F2 0.1633 0.8501 0.0791
F3 0.4577 0.1889 0.1098
F4 0.4577 0.3111 0.6098
F5 0.5423 0.6889 0.3902
F6 0.5423 0.8111 0.8902
F7 0.8367 0.1499 0.9209
F8 0.8367 0.3501 0.4209

Name the most stable of them. x.

## w
HgO2F: optimized geometry, GGA-PBE.

Properties
The space group is Fm-3m (225). Its size of the total moment is 3.0 Bohr magnetons per cell.

Cell lengths 4.0215, 4.0215, 4.0215 Å; angles 60.00, 60.00, 60.00 degrees
Sites, in units of the cell vectors:
Hg1 0.0000 0.0000 0.0000
O1 0.2500 0.2500 0.2500
O2 0.7500 0.7500 0.7500
F1 0.5000 0.5000 0.5000

## x
HgO2F: optimized geometry, GGA-PBE.

Properties
The space group is I-42d (122). Its size of the total moment is 0.9 Bohr magnetons per cell.

Cell lengths 9.5301, 9.5301, 9.5301 Å; angles 159.59, 159.59, 29.03 degrees
Sites, in units of the cell vectors:
Hg1 0.0000 0.0000 0.0000
Hg2 0.7500 0.2500 0.5000
O1 0.3750 0.2139 0.3389
O2 0.7861 0.1250 0.1611
O3 0.8750 0.0361 0.6611
O4 0.9639 0.6250 0.8389
F1 0.2500 0.7500 0.5000
F2 0.5000 0.5000 0.0000

Name the most stable of them. x.

## w
RbHgOF2: optimized geometry, GGA-PBE.

Properties
The space group is P4/mmm (123). Its size of the total moment is 0.2 Bohr magnetons per cell.

Cell lengths 4.9088, 4.9088, 4.5193 Å; angles 90.00, 90.00, 90.00 degrees
Sites, in units of the cell vectors:
Rb1 0.0000 0.0000 0.0000
Hg1 0.5000 0.5000 0.5000
O1 0.0000 0.0000 0.5000
F1 0.0000 0.5000 0.0000
F2 0.5000 0.0000 0.0000

## x
RbHgOF2: optimized geometry, GGA-PBE.

Properties
The space group is P4/mmm (123). Its size of the total moment is 0.5 Bohr magnetons per cell.

Cell lengths 4.7381, 4.7381, 4.1403 Å; angles 90.00, 90.00, 90.00 degrees
Sites, in units of the cell vectors:
Rb1 0.0000 0.0000 0.0000
Hg1 0.5000 0.5000 0.5000
O1 0.5000 0.5000 0.0000
F1 0.0000 0.5000 0.5000
F2 0.5000 0.0000 0.5000

Name the most stable of them. x.

## w
HgSOF2: optimized geometry, GGA-PBE.

Properties
The space group is P4/mmm (123). Its size of the total moment is 3.3 Bohr magnetons per cell.

Cell lengths 4.5311, 4.5311, 4.2130 Å; angles 90.00, 90.00, 90.00 degrees
Sites, in units of the cell vectors:
Hg1 0.0000 0.0000 0.0000
S1 0.5000 0.5000 0.5000
O1 0.0000 0.0000 0.5000
F1 0.0000 0.5000 0.0000
F2 0.5000 0.0000 0.0000

## x
HgSOF2: optimized geometry, GGA-PBE.

Properties
The space group is P4/mmm (123). Its size of the total moment is 0.0 Bohr magnetons per cell.

Cell lengths 4.6542, 4.6542, 3.4075 Å; angles 90.00, 90.00, 90.00 degrees
Sites, in units of the cell vectors:
Hg1 0.0000 0.0000 0.0000
S1 0.5000 0.5000 0.5000
O1 0.5000 0.5000 0.0000
F1 0.0000 0.5000 0.5000
F2 0.5000 0.0000 0.5000

Name the most stable of them. x.

## w
SnHgOF2: optimized geometry, GGA-PBE.

Properties
The space group is P4/mmm (123). Its size of the total moment is 0.0 Bohr magnetons per cell.

Cell lengths 4.5881, 4.5881, 4.2897 Å; angles 90.00, 90.00, 90.00 degrees
Sites, in units of the cell vectors:
Sn1 0.0000 0.0000 0.0000
Hg1 0.5000 0.5000 0.5000
O1 0.5000 0.5000 0.0000
F1 0.0000 0.5000 0.5000
F2 0.5000 0.0000 0.5000

## x
SnHgOF2: optimized geometry, GGA-PBE.

Properties
The space group is P4/mmm (123). Its size of the total moment is 0.0 Bohr magnetons per cell.

Cell lengths 4.4723, 4.4723, 4.0240 Å; angles 90.00, 90.00, 90.00 degrees
Sites, in units of the cell vectors:
Sn1 0.0000 0.0000 0.0000
Hg1 0.5000 0.5000 0.5000
O1 0.0000 0.0000 0.5000
F1 0.0000 0.5000 0.0000
F2 0.5000 0.0000 0.0000

Name the most stable of them. x.

## w
TaHgOF2: optimized geometry, GGA-PBE.

Properties
The space group is P4/mmm (123). Its size of the total moment is 1.0 Bohr magnetons per cell.

Cell lengths 4.3478, 4.3478, 3.9453 Å; angles 90.00, 90.00, 90.00 degrees
Sites, in units of the cell vectors:
Ta1 0.0000 0.0000 0.0000
Hg1 0.5000 0.5000 0.5000
O1 0.0000 0.0000 0.5000
F1 0.0000 0.5000 0.0000
F2 0.5000 0.0000 0.0000

## x
TaHgOF2: optimized geometry, GGA-PBE.

Properties
The space group is P4/mmm (123). Its size of the total moment is 2.9 Bohr magnetons per cell.

Cell lengths 4.4725, 4.4725, 4.3286 Å; angles 90.00, 90.00, 90.00 degrees
Sites, in units of the cell vectors:
Ta1 0.0000 0.0000 0.0000
Hg1 0.5000 0.5000 0.5000
O1 0.5000 0.5000 0.0000
F1 0.0000 0.5000 0.5000
F2 0.5000 0.0000 0.5000

Name the most stable of them. w.

## w
HgTeOF2: optimized geometry, GGA-PBE.

Properties
The space group is P4/mmm (123). Its size of the total moment is 2.1 Bohr magnetons per cell.

Cell lengths 4.4969, 4.4969, 4.4599 Å; angles 90.00, 90.00, 90.00 degrees
Sites, in units of the cell vectors:
Hg1 0.0000 0.0000 0.0000
Te1 0.5000 0.5000 0.5000
O1 0.0000 0.0000 0.5000
F1 0.0000 0.5000 0.0000
F2 0.5000 0.0000 0.0000

## x
HgTeOF2: optimized geometry, GGA-PBE.

Properties
The space group is P4/mmm (123). Its size of the total moment is 0.0 Bohr magnetons per cell.

Cell lengths 4.6279, 4.6279, 4.0921 Å; angles 90.00, 90.00, 90.00 degrees
Sites, in units of the cell vectors:
Hg1 0.0000 0.0000 0.0000
Te1 0.5000 0.5000 0.5000
O1 0.5000 0.5000 0.0000
F1 0.0000 0.5000 0.5000
F2 0.5000 0.0000 0.5000

Name the most stable of them. x.

## w
TlHgOF2: optimized geometry, GGA-PBE.

Properties
The space group is P4/mmm (123). Its size of the total moment is 0.5 Bohr magnetons per cell.

Cell lengths 4.6947, 4.6947, 4.1629 Å; angles 90.00, 90.00, 90.00 degrees
Sites, in units of the cell vectors:
Tl1 0.0000 0.0000 0.0000
Hg1 0.5000 0.5000 0.5000
O1 0.5000 0.5000 0.0000
F1 0.0000 0.5000 0.5000
F2 0.5000 0.0000 0.5000

## x
TlHgOF2: optimized geometry, GGA-PBE.

Properties
The space group is P4/mmm (123). Its size of the total moment is 0.0 Bohr magnetons per cell.

Cell lengths 4.5393, 4.5393, 4.2370 Å; angles 90.00, 90.00, 90.00 degrees
Sites, in units of the cell vectors:
Tl1 0.0000 0.0000 0.0000
Hg1 0.5000 0.5000 0.5000
O1 0.0000 0.0000 0.5000
F1 0.0000 0.5000 0.0000
F2 0.5000 0.0000 0.0000

Name the most stable of them. w.

## w
ZrHgOF2: optimized geometry, GGA-PBE.

Properties
The space group is P4/mmm (123). Its size of the total moment is 0.0 Bohr magnetons per cell.

Cell lengths 4.4267, 4.4267, 4.0785 Å; angles 90.00, 90.00, 90.00 degrees
Sites, in units of the cell vectors:
Zr1 0.0000 0.0000 0.0000
Hg1 0.5000 0.5000 0.5000
O1 0.0000 0.0000 0.5000
F1 0.0000 0.5000 0.0000
F2 0.5000 0.0000 0.0000

## x
ZrHgOF2: optimized geometry, GGA-PBE.

Properties
The space group is P4/mmm (123). Its size of the total moment is 1.9 Bohr magnetons per cell.

Cell lengths 4.5443, 4.5443, 4.2660 Å; angles 90.00, 90.00, 90.00 degrees
Sites, in units of the cell vectors:
Zr1 0.0000 0.0000 0.0000
Hg1 0.5000 0.5000 0.5000
O1 0.5000 0.5000 0.0000
F1 0.0000 0.5000 0.5000
F2 0.5000 0.0000 0.5000

Name the most stable of them. w.